Material: Li2Sb
Method: DFT, GGA-PBE
State: optimized geometry

abc: 4.7641 4.7641 3.2473
angles: 90.00 90.00 90.00
Positions (direct):
Li  0.0000  0.5000  0.0000
Li  0.5000  0.0000  0.0000
Sb  0.0000  0.0000  0.5000

Properties
Formation energy without anion corrections in kJ/mol of formula units: -125
E above lowest polymorph in meV/atom: 133.1
Magnetization in μB per atom: 0.0000

Material: LiSb
Method: DFT, GGA-PBE
State: optimized geometry

abc: 4.4553 4.4553 12.1859
angles: 90.00 90.00 120.00
Positions (direct):
Li  0.0000  0.0000  0.2500
Li  0.0000  0.0000  0.7500
Li  0.3333  0.6667  0.2500
Li  0.6667  0.3333  0.7500
Sb  0.3333  0.6667  0.6345
Sb  0.3333  0.6667  0.8655
Sb  0.6667  0.3333  0.1345
Sb  0.6667  0.3333  0.3655

Properties
Formation energy without anion corrections in kJ/mol of formula units: -44
E above lowest polymorph in meV/atom: 188.5
Magnetization in μB per atom: 0.0000

Material: LiSb
Method: DFT, GGA-PBE
State: optimized geometry

abc: 7.5564 7.5564 7.5564
angles: 90.00 90.00 90.00
Positions (direct):
Li  0.0000  0.2500  0.5000
Li  0.0000  0.7500  0.5000
Li  0.2500  0.5000  0.0000
Li  0.5000  0.0000  0.2500
Li  0.5000  0.0000  0.7500
Li  0.7500  0.5000  0.0000
Sb  0.0000  0.5000  0.2500
Sb  0.0000  0.5000  0.7500
Sb  0.2500  0.0000  0.5000
Sb  0.5000  0.2500  0.0000
Sb  0.5000  0.7500  0.0000
Sb  0.7500  0.0000  0.5000

Properties
Formation energy without anion corrections in kJ/mol of formula units: 72
E above lowest polymorph in meV/atom: 788.2
Magnetization in μB per atom: 0.0001